Record 1
The following is a DFT calculation (PBE) of a relaxed structure of Y5ErTl6.

Total DFT energy (no corrections)   -4.621 eV per atom
Formation energy   -0.36 eV/atom
Total magnetization   0.00 μB/cell

Geometry as CIF:
```
data_Y5ErTl6
_chemical_formula_sum 'Y10 Er2 Tl12'
_cell_length_a 9.257
_cell_length_b 16.151
_cell_length_c 5.369
_cell_angle_alpha 90.00
_cell_angle_beta 125.27
_cell_angle_gamma 90.00
_symmetry_space_group_name_H-M 'C 1 2/m 1'
_symmetry_Int_Tables_number 12
loop_
_symmetry_equiv_pos_as_xyz
'x,y,z'
'-x,-y,-z'
'-x,y,-z'
'x,-y,z'
'x+1/2,y+1/2,z'
'-x+1/2,-y+1/2,-z'
'-x+1/2,y+1/2,-z'
'x+1/2,-y+1/2,z'
loop_
_atom_site_label
_atom_site_fract_x
_atom_site_fract_y
_atom_site_fract_z
Y1 0.000 0.000 0.000
Y2 0.000 0.166 0.500
Y3 0.000 0.333 0.000
Er1 0.000 0.500 0.500
Tl1 0.248 0.500 0.248
Tl2 0.249 0.334 0.749
```

***

Record 2
The following is a DFT calculation (PBE) of a relaxed structure of CuTc2.

Energy relative to the lowest polymorph listed for this composition   2.7 kJ/mol of atoms
Total DFT energy (no corrections)   -8.160 eV per atom
Formation energy   0.12 eV/atom
Total magnetization   0.00 μB/cell

Geometry as CIF:
```
data_CuTc2
_chemical_formula_sum 'Cu4 Tc8'
_cell_length_a 4.612
_cell_length_b 8.151
_cell_length_c 4.618
_cell_angle_alpha 90.00
_cell_angle_beta 107.10
_cell_angle_gamma 90.00
_symmetry_space_group_name_H-M 'C 1 2/c 1'
_symmetry_Int_Tables_number 15
loop_
_symmetry_equiv_pos_as_xyz
'x,y,z'
'-x,-y,-z'
'-x,y,-z+1/2'
'x,-y,z+1/2'
'x+1/2,y+1/2,z'
'-x+1/2,-y+1/2,-z'
'-x+1/2,y+1/2,-z+1/2'
'x+1/2,-y+1/2,z+1/2'
loop_
_atom_site_label
_atom_site_fract_x
_atom_site_fract_y
_atom_site_fract_z
Cu1 0.000 0.075 0.250
Tc1 0.000 0.258 0.750
Tc2 0.000 0.403 0.250
```

***

Record 3
The following is a DFT calculation (PBE) of a relaxed structure of NdSmAg.

Energy relative to the lowest polymorph listed for this composition   1.1 kJ/mol of atoms
Total DFT energy (no corrections)   -4.261 eV per atom
Formation energy   -0.15 eV/atom
Total magnetization   1.22 μB/cell

Geometry as CIF:
```
data_NdSmAg
_chemical_formula_sum 'Nd2 Sm2 Ag2'
_cell_length_a 3.719
_cell_length_b 3.719
_cell_length_c 12.679
_cell_angle_alpha 90.00
_cell_angle_beta 90.00
_cell_angle_gamma 90.00
_symmetry_space_group_name_H-M 'I 4 m m'
_symmetry_Int_Tables_number 107
_symmetry_space_group_name_Hall 'I 4 -2'
loop_
_atom_site_label
_atom_site_fract_x
_atom_site_fract_y
_atom_site_fract_z
Nd1 0.000 0.000 0.000
Sm1 0.000 0.000 0.296
Ag1 0.000 0.000 0.653
```